This record from Alexandria via LeMat-Bulk describes a relaxed Ta2HgPbO crystal. The functional is PBE.

## Properties
Its symmetry is No. 123. The formation energy from raw total energies is 2356 meV/atom. The mass density comes out at 8.59 g/cm3. The energy comes out at -20.893 eV for the cell shown.

Lattice parameters (Å, degrees): 5.102 5.102 5.834 90.00 90.00 90.00
Sites, in units of the cell vectors:
Ta (0.000, 0.500, 0.000)
Ta (0.500, 0.000, 0.000)
Hg (0.000, 0.000, 0.000)
Pb (0.000, 0.000, 0.500)
O (0.500, 0.500, 0.500)